P.
SmDyTe: optimized geometry, PBE.

Geometry as POSCAR:
```
SmDyTe
1.0
5.1845 0.0000 0.0000
-2.5923 4.4899 0.0000
0.0000 0.0000 4.0595
Sm Dy Te
1 1 1
direct
0.0000 0.0000 0.0000
0.3333 0.6667 0.5121
0.6667 0.3333 0.7087
```

Symmetry = No. 156
Size of the total moment = 0.000 μB/atom
Volume = 31.5 A^3/atom



Q.
SmDyTe: optimized geometry, PBE.

Geometry as POSCAR:
```
SmDyTe
1.0
2.0391 -7.7914 0.0000
2.0391 7.7914 0.0000
0.0000 0.0000 6.1312
Sm Dy Te
2 2 2
direct
0.1406 0.8594 0.7500
0.8594 0.1406 0.2500
0.4450 0.5550 0.7500
0.5550 0.4450 0.2500
0.2015 0.7985 0.2500
0.7985 0.2015 0.7500
```

Symmetry = No. 63
Size of the total moment = 0.112 μB/atom
Volume = 32.5 A^3/atom



Going by the computed energies, the most stable comes first: Q, P.



P.
Sm2Dy2Te5: optimized geometry, PBE.

Geometry as POSCAR:
```
Sm2Dy2Te5
1.0
8.0974 -2.7240 0.0000
8.0974 2.7240 0.0000
-1.9747 0.0000 6.2532
Sm Dy Te
2 2 5
direct
0.0903 0.0903 0.3622
0.9097 0.9097 0.6378
0.3059 0.3059 0.2024
0.6941 0.6941 0.7976
0.1141 0.1141 0.8917
0.2959 0.2959 0.6789
0.5000 0.5000 0.5000
0.7041 0.7041 0.3211
0.8859 0.8859 0.1083
```

Symmetry = No. 12
Size of the total moment = 0.000 μB/atom
Volume = 30.7 A^3/atom



Q.
Sm2Dy2Te5: optimized geometry, PBE.

Geometry as POSCAR:
```
Sm2Dy2Te5
1.0
7.9576 -4.1075 0.0000
7.9576 4.1075 0.0000
0.0000 0.0000 8.2228
Sm Dy Te
4 4 10
direct
0.1970 0.1970 0.0000
0.3030 0.3030 0.5000
0.6970 0.6970 0.5000
0.8030 0.8030 0.0000
0.1452 0.8548 0.6494
0.3548 0.6452 0.1494
0.6452 0.3548 0.8506
0.8548 0.1452 0.3506
0.0000 0.0000 0.0000
0.0213 0.7024 0.3440
0.2024 0.5213 0.8440
0.2976 0.9787 0.3440
0.4787 0.7976 0.8440
0.5000 0.5000 0.5000
0.5213 0.2024 0.1560
0.7024 0.0213 0.6560
0.7976 0.4787 0.1560
0.9787 0.2976 0.6560
```

Symmetry = No. 64
Size of the total moment = 0.000 μB/atom
Volume = 29.9 A^3/atom



Going by the computed energies, the most stable comes first: Q, P.



P.
Sm2DyTe4: optimized geometry, PBE.

Geometry as POSCAR:
```
Sm2DyTe4
1.0
8.2132 -2.2000 0.0000
8.2132 2.2000 0.0000
-3.5684 0.0000 6.8374
Sm Dy Te
2 1 4
direct
0.2418 0.2418 0.2293
0.7582 0.7582 0.7707
0.5000 0.5000 0.5000
0.1265 0.1265 0.4678
0.3818 0.3818 0.0552
0.6182 0.6182 0.9448
0.8735 0.8735 0.5322
```

Symmetry = No. 12
Size of the total moment = 0.000 μB/atom
Volume = 35.3 A^3/atom



Q.
Sm2DyTe4: optimized geometry, PBE.

Geometry as POSCAR:
```
Sm2DyTe4
1.0
2.1348 -7.2935 0.0000
2.1348 7.2935 0.0000
0.0000 0.0000 15.1641
Sm Dy Te
4 2 8
direct
0.1316 0.8684 0.5702
0.1316 0.8684 0.9298
0.8684 0.1316 0.0702
0.8684 0.1316 0.4298
0.3720 0.6280 0.7500
0.6280 0.3720 0.2500
0.0264 0.9736 0.7500
0.2188 0.7812 0.1246
0.2188 0.7812 0.3754
0.5000 0.5000 0.0000
0.5000 0.5000 0.5000
0.7812 0.2188 0.6246
0.7812 0.2188 0.8754
0.9736 0.0264 0.2500
```

Symmetry = No. 63
Size of the total moment = 0.000 μB/atom
Volume = 33.7 A^3/atom



Going by the computed energies, the most stable comes first: P, Q.



P.
Sm2Dy3Th: optimized geometry, PBE.

Geometry as POSCAR:
```
Sm2Dy3Th
1.0
6.2007 0.0000 0.0000
-1.0356 6.1179 0.0000
-0.0166 -3.1458 10.2619
Sm Dy Th
4 6 2
direct
0.1224 0.2510 0.1239
0.3764 0.7509 0.3723
0.6236 0.2491 0.6277
0.8776 0.7490 0.8761
0.1211 0.2462 0.4596
0.3690 0.7507 0.7092
0.3726 0.7457 0.0417
0.6274 0.2543 0.9583
0.6310 0.2493 0.2908
0.8789 0.7538 0.5404
0.1273 0.2507 0.7900
0.8727 0.7493 0.2100
```

Symmetry = No. 2
Size of the total moment = 0.000 μB/atom
Volume = 32.4 A^3/atom



Q.
Sm2Dy3Th: optimized geometry, PBE.

Geometry as POSCAR:
```
Sm2Dy3Th
1.0
4.7014 -6.5885 0.0000
4.7014 6.5885 0.0000
0.0000 0.0000 6.4734
Sm Dy Th
4 6 2
direct
0.0013 0.3653 0.0000
0.3653 0.0013 0.5000
0.6347 0.9987 0.0000
0.9987 0.6347 0.5000
0.1107 0.2548 0.4829
0.2548 0.1107 0.9829
0.4149 0.5851 0.7227
0.5851 0.4149 0.2227
0.7452 0.8893 0.4829
0.8893 0.7452 0.9829
0.3302 0.6698 0.2058
0.6698 0.3302 0.7058
```

Symmetry = No. 36
Size of the total moment = 0.000 μB/atom
Volume = 33.4 A^3/atom



Going by the computed energies, the most stable comes first: P, Q.



P.
SmDy3Th2: optimized geometry, PBE.

Geometry as POSCAR:
```
SmDy3Th2
1.0
3.5616 -10.7105 0.0000
3.5616 10.7105 0.0000
-3.5593 0.0000 5.0670
Sm Dy Th
2 6 4
direct
0.1249 0.8751 0.7500
0.8751 0.1249 0.2500
0.0415 0.9585 0.2500
0.2913 0.7087 0.7500
0.3749 0.6251 0.2500
0.6251 0.3749 0.7500
0.7087 0.2913 0.2500
0.9585 0.0415 0.7500
0.2113 0.7887 0.2500
0.4615 0.5385 0.7500
0.5385 0.4615 0.2500
0.7887 0.2113 0.7500
```

Symmetry = No. 15
Size of the total moment = 0.000 μB/atom
Volume = 32.2 A^3/atom



Q.
SmDy3Th2: optimized geometry, PBE.

Geometry as POSCAR:
```
SmDy3Th2
1.0
10.0772 0.0000 0.0000
0.0000 3.5769 0.0000
-0.0476 0.0000 10.6966
Sm Dy Th
2 6 4
direct
0.1235 0.2500 0.2506
0.8765 0.7500 0.7494
0.1332 0.2500 0.9179
0.3702 0.7500 0.4174
0.3755 0.7500 0.7505
0.6245 0.2500 0.2495
0.6298 0.2500 0.5826
0.8668 0.7500 0.0821
0.1239 0.2500 0.5811
0.3798 0.7500 0.0815
0.6202 0.2500 0.9185
0.8761 0.7500 0.4189
```

Symmetry = No. 11
Size of the total moment = 0.000 μB/atom
Volume = 32.1 A^3/atom



Going by the computed energies, the most stable comes first: Q, P.



P.
Sm2DyTh2: optimized geometry, PBE.

Geometry as POSCAR:
```
Sm2DyTh2
1.0
1.8003 1.0394 14.5538
-1.8003 1.0394 14.5538
0.0000 -2.0788 14.5538
Sm Dy Th
2 1 2
direct
0.2025 0.2025 0.2025
0.7975 0.7975 0.7975
0.0000 0.0000 0.0000
0.3992 0.3992 0.3992
0.6008 0.6008 0.6008
```

Symmetry = No. 166
Size of the total moment = 0.000 μB/atom
Volume = 32.7 A^3/atom



Q.
Sm2DyTh2: optimized geometry, PBE.

Geometry as POSCAR:
```
Sm2DyTh2
1.0
9.5918 0.0000 0.0000
0.0000 9.5918 0.0000
0.0000 0.0000 3.6468
Sm Dy Th
4 2 4
direct
0.1276 0.3724 0.0000
0.3724 0.8724 0.0000
0.6276 0.1276 0.0000
0.8724 0.6276 0.0000
0.0000 0.0000 0.0000
0.5000 0.5000 0.0000
0.1713 0.6713 0.5000
0.3287 0.1713 0.5000
0.6713 0.8287 0.5000
0.8287 0.3287 0.5000
```

Symmetry = No. 127
Size of the total moment = 0.000 μB/atom
Volume = 33.6 A^3/atom



Going by the computed energies, the most stable comes first: P, Q.



P.
Sm3Dy8Th2: optimized geometry, PBE.

Geometry as POSCAR:
```
Sm3Dy8Th2
1.0
3.6988 -10.3487 0.0000
3.6988 10.3487 0.0000
0.0000 0.0000 5.7021
Sm Dy Th
3 8 2
direct
0.0000 0.0000 0.0000
0.2808 0.2808 0.5000
0.7192 0.7192 0.5000
0.1394 0.8606 0.5000
0.1744 0.3939 0.0000
0.3310 0.6690 0.5000
0.3939 0.1744 0.0000
0.6061 0.8256 0.0000
0.6690 0.3310 0.5000
0.8256 0.6061 0.0000
0.8606 0.1394 0.5000
0.2450 0.7550 0.0000
0.7550 0.2450 0.0000
```

Symmetry = No. 65
Size of the total moment = 0.000 μB/atom
Volume = 33.6 A^3/atom



Q.
Sm3Dy8Th2: optimized geometry, PBE.

Geometry as POSCAR:
```
Sm3Dy8Th2
1.0
6.8043 0.0000 0.0000
1.9731 8.4033 0.0000
1.3077 0.3924 14.7938
Sm Dy Th
6 16 4
direct
0.0000 0.0000 0.0000
0.0907 0.5478 0.3581
0.4013 0.9508 0.1445
0.5000 0.5000 0.5000
0.5987 0.0492 0.8555
0.9093 0.4522 0.6419
0.0518 0.3068 0.1727
0.0920 0.7839 0.6092
0.1219 0.0816 0.7731
0.2491 0.8725 0.3843
0.2502 0.6254 0.1127
0.2804 0.1342 0.5490
0.3894 0.4208 0.7276
0.4071 0.7188 0.8915
0.5929 0.2812 0.1085
0.6106 0.5792 0.2724
0.7196 0.8658 0.4510
0.7498 0.3746 0.8873
0.7509 0.1275 0.6157
0.8781 0.9184 0.2269
0.9080 0.2161 0.3908
0.9482 0.6932 0.8273
0.2162 0.3600 0.9494
0.4416 0.1955 0.3253
0.5584 0.8045 0.6747
0.7838 0.6400 0.0506
```

Symmetry = No. 2
Size of the total moment = 0.000 μB/atom
Volume = 32.5 A^3/atom



Going by the computed energies, the most stable comes first: Q, P.



P.
SmDyTh: optimized geometry, PBE.

Geometry as POSCAR:
```
SmDyTh
1.0
3.5887 0.0000 0.0000
-1.7943 3.1079 0.0000
0.0000 0.0000 8.7617
Sm Dy Th
1 1 1
direct
0.0000 0.0000 0.0000
0.6667 0.3333 0.3493
0.3333 0.6667 0.6710
```

Symmetry = No. 156
Size of the total moment = 0.000 μB/atom
Volume = 32.6 A^3/atom



Q.
SmDyTh: optimized geometry, PBE.

Geometry as POSCAR:
```
SmDyTh
1.0
6.8656 0.0000 0.0000
-1.8769 6.9371 0.0000
-1.1657 -4.0360 8.2752
Sm Dy Th
4 4 4
direct
0.0504 0.4128 0.3010
0.3982 0.9234 0.6476
0.6018 0.0766 0.3524
0.9496 0.5872 0.6990
0.0487 0.9127 0.3017
0.3960 0.4216 0.6468
0.6040 0.5784 0.3532
0.9513 0.0873 0.6983
0.2800 0.0857 0.0303
0.2805 0.5844 0.0294
0.7195 0.4156 0.9706
0.7200 0.9143 0.9697
```

Symmetry = No. 2
Size of the total moment = 0.000 μB/atom
Volume = 32.8 A^3/atom



R.
SmDyTh: optimized geometry, PBE.

Geometry as POSCAR:
```
SmDyTh
1.0
4.9391 0.0000 0.0000
0.0000 4.9391 0.0000
0.0000 0.0000 8.5206
Sm Dy Th
2 2 2
direct
0.2500 0.2500 0.2074
0.7500 0.7500 0.7926
0.2500 0.2500 0.7899
0.7500 0.7500 0.2101
0.2500 0.7500 0.5000
0.7500 0.2500 0.5000
```

Symmetry = No. 129
Size of the total moment = 0.000 μB/atom
Volume = 34.6 A^3/atom



Going by the computed energies, the most stable comes first: P, Q, R.



P.
SmDyTh: optimized geometry, PBE.

Geometry as POSCAR:
```
SmDyTh
1.0
1.7965 1.0372 17.4744
-1.7965 1.0372 17.4744
0.0000 -2.0744 17.4744
Sm Dy Th
2 2 2
direct
0.1948 0.1948 0.1948
0.8052 0.8052 0.8052
0.0820 0.0820 0.0820
0.9180 0.9180 0.9180
0.3605 0.3605 0.3605
0.6395 0.6395 0.6395
```

Symmetry = No. 166
Size of the total moment = 0.000 μB/atom
Volume = 32.6 A^3/atom



Q.
SmDyTh: optimized geometry, PBE.

Geometry as POSCAR:
```
SmDyTh
1.0
-1.8002 1.8002 7.5483
1.8002 -1.8002 7.5483
1.8002 1.8002 -7.5483
Sm Dy Th
1 1 1
direct
0.0000 0.0000 0.0000
0.3201 0.3201 0.0000
0.6618 0.6618 0.0000
```

Symmetry = No. 107
Size of the total moment = 0.000 μB/atom
Volume = 32.6 A^3/atom



Going by the computed energies, the most stable comes first: P, Q.



P.
SmDy8Th2: optimized geometry, PBE.

Geometry as POSCAR:
```
SmDy8Th2
1.0
9.4942 -3.5151 0.0000
9.4942 3.5151 0.0000
-0.2119 0.0000 5.5639
Sm Dy Th
1 8 2
direct
0.0000 0.0000 0.0000
0.1379 0.5981 0.2622
0.1827 0.1827 0.2330
0.4019 0.8621 0.7378
0.4529 0.4529 0.7618
0.5471 0.5471 0.2382
0.5981 0.1379 0.2622
0.8173 0.8173 0.7670
0.8621 0.4019 0.7378
0.2822 0.2822 0.7383
0.7178 0.7178 0.2617
```

Symmetry = No. 12
Size of the total moment = 0.000 μB/atom
Volume = 33.8 A^3/atom



Q.
SmDy8Th2: optimized geometry, PBE.

Geometry as POSCAR:
```
SmDy8Th2
1.0
6.1639 0.0000 0.0000
-1.0522 7.8913 0.0000
-2.0557 -2.6755 7.2152
Sm Dy Th
1 8 2
direct
0.0000 0.0000 0.0000
0.1796 0.6354 0.7244
0.2678 0.4569 0.0878
0.3601 0.2697 0.4568
0.4473 0.0898 0.8119
0.5527 0.9102 0.1881
0.6399 0.7303 0.5432
0.7322 0.5431 0.9122
0.8204 0.3646 0.2756
0.0893 0.8196 0.3667
0.9107 0.1804 0.6333
```

Symmetry = No. 2
Size of the total moment = 0.000 μB/atom
Volume = 31.9 A^3/atom



Going by the computed energies, the most stable comes first: Q, P.